# 1
Nd2Ga9Ru6 | the Alexandria database | GGA-PBE | optimized geometry; formation energy = -0.27 eV/atom
1.0
5.5174 0.0000 0.0000
-2.7587 4.7782 0.0000
0.0000 0.0000 12.0636
Nd Ga Ru
2 9 6
direct
0.0000 0.0000 0.6673
0.0000 0.0000 0.3327
0.5000 0.0000 0.8375
0.0000 0.5000 0.8375
0.5000 0.5000 0.8375
0.5000 0.0000 0.1625
0.0000 0.5000 0.1625
0.5000 0.5000 0.1625
0.5000 0.0000 0.5000
0.0000 0.5000 0.5000
0.5000 0.5000 0.5000
0.3333 0.6667 0.0000
0.6667 0.3333 0.0000
0.3333 0.6667 0.6713
0.6667 0.3333 0.6713
0.6667 0.3333 0.3287
0.3333 0.6667 0.3287

---

# 2
Nd5GaRu2 | the Alexandria database | GGA-PBE | optimized geometry; formation energy = -0.30 eV/atom
1.0
0.1226 -3.1426 -7.2617
0.3176 -7.2547 3.1449
-7.0333 4.9055 2.0702
Nd Ga Ru
10 2 4
direct
0.5269 0.6992 0.7261
0.8008 0.9731 0.2739
0.0000 0.0000 0.0000
0.5000 0.5000 0.0000
0.1992 0.0269 0.7261
0.6992 0.1992 0.7261
0.0269 0.5269 0.7261
0.3008 0.8008 0.2739
0.9731 0.4731 0.2739
0.4731 0.3008 0.2739
0.7500 0.7500 0.5000
0.2500 0.2500 0.5000
0.1371 0.3629 0.0000
0.6371 0.1371 0.0000
0.3629 0.8629 0.0000
0.8629 0.6371 0.0000

---

# 3
Nd3GaRu2 | the Alexandria database | GGA-PBE | optimized geometry; formation energy = -0.25 eV/atom
1.0
4.1588 0.0000 -1.2036
-0.3404 4.1363 -1.1764
0.0864 0.0608 8.0852
Nd Ga Ru
3 1 2
direct
0.5000 0.5000 0.0000
0.8192 0.3190 0.6385
0.1808 0.6810 0.3615
0.0000 0.0000 0.0000
0.3757 0.8753 0.7513
0.6243 0.1247 0.2487

---

# 4
Nd4GaRu3 | the Alexandria database | GGA-PBE | optimized geometry; formation energy = -0.25 eV/atom
1.0
4.3280 0.0000 0.0000
0.0000 4.3954 0.0000
0.0000 0.0000 10.5443
Ru Nd Ga
3 4 1
direct
0.0000 0.5000 0.5530
0.0000 0.0000 0.4567
0.5000 0.0000 0.9345
0.5000 0.5000 0.3637
0.0000 0.5000 0.8491
0.0000 0.0000 0.1315
0.5000 0.0000 0.6518
0.5000 0.5000 0.0598

---

# 5
Nd8Ga2Ru | the Alexandria database | GGA-PBE | optimized geometry; formation energy = -0.20 eV/atom; E above lowest polymorph = 0.0394 eV per atom
1.0
-5.4717 0.2041 0.0913
-0.1939 -6.4356 2.7716
3.0791 6.3531 6.0973
Nd Ga Ru
8 2 1
direct
0.6283 0.8637 0.2566
0.3715 0.6070 0.7430
0.1977 0.1975 0.3954
0.0000 0.2515 0.0000
0.8022 0.8025 0.6046
0.6285 0.3930 0.2570
0.3717 0.1363 0.7434
0.0000 0.7485 0.0000
0.1848 0.6849 0.3698
0.8151 0.3151 0.6302
0.5003 0.0000 0.0000

---

# 6
Nd2Ga9Ru3 | the Alexandria database | GGA-PBE | optimized geometry; formation energy = -0.54 eV/atom
1.0
7.5456 -0.0026 0.0000
-3.6738 6.5908 0.0000
0.0000 0.0000 9.8650
Nd Ga Ru
4 18 6
direct
0.9981 0.6732 0.2500
0.0019 0.3268 0.7500
0.6732 0.9981 0.2500
0.3268 0.0019 0.7500
0.1333 0.1333 0.2500
0.8667 0.8667 0.7500
0.0100 0.3370 0.0735
0.9900 0.6630 0.9265
0.9900 0.6630 0.5735
0.3370 0.0100 0.4265
0.0100 0.3370 0.4265
0.6630 0.9900 0.5735
0.6630 0.9900 0.9265
0.3370 0.0100 0.0735
0.3391 0.3391 0.5573
0.6609 0.6609 0.4427
0.6609 0.6609 0.0573
0.3391 0.3391 0.9427
0.3385 0.5499 0.2500
0.6615 0.4501 0.7500
0.5499 0.3385 0.2500
0.4501 0.6615 0.7500
0.6750 0.3250 0.0000
0.3250 0.6750 0.0000
0.3250 0.6750 0.5000
0.6750 0.3250 0.5000
0.0000 0.0000 0.0000
0.0000 0.0000 0.5000

---

# 7
Nd2Ga5Ru3 | the Alexandria database | GGA-PBE | optimized geometry; formation energy = -0.52 eV/atom
1.0
-0.5331 5.1607 -2.6097
-7.3038 3.8620 2.6670
1.8573 6.3196 5.6557
Nd Ga Ru
4 10 6
direct
0.1421 0.5859 0.1298
0.6421 0.1298 0.5859
0.8579 0.4141 0.8702
0.3579 0.8702 0.4141
0.4155 0.2670 0.9020
0.9155 0.9020 0.2670
0.5845 0.7330 0.0980
0.0845 0.0980 0.7330
0.4515 0.7985 0.7985
0.5485 0.2015 0.2015
0.7500 0.5000 0.5000
0.2500 0.5000 0.5000
0.0485 0.2015 0.2015
0.9515 0.7985 0.7985
0.3491 0.5714 0.7303
0.8491 0.7303 0.5714
0.6509 0.4286 0.2697
0.1509 0.2697 0.4286
0.2500 0.0000 0.0000
0.7500 0.0000 0.0000

---

# 8
Nd2Ga6Ru | the Alexandria database | GGA-PBE | optimized geometry; formation energy = -0.53 eV/atom; E above lowest polymorph = 0.0630 eV per atom
1.0
5.6301 -0.0290 -0.0168
0.0326 6.0276 0.0054
0.0326 3.0077 5.2236
Nd Ga Ru
2 6 1
direct
0.8160 0.6666 0.6666
0.1840 0.3334 0.3334
0.3154 0.3467 0.8268
0.3151 0.8263 0.8263
0.3154 0.8268 0.3467
0.6846 0.6533 0.1732
0.6849 0.1737 0.1737
0.6846 0.1732 0.6533
0.0000 0.0000 0.0000

---

# 9
Nd2Ga5Ru4 | the Alexandria database | GGA-PBE | optimized geometry; formation energy = -0.36 eV/atom
1.0
5.4347 0.0000 0.0000
2.7174 4.8959 0.0000
2.7174 0.0000 7.8175
Nd Ga Ru
2 5 4
direct
0.8435 0.0000 0.3129
0.1565 0.0000 0.6871
0.5000 0.0000 0.0000
0.0000 0.5000 0.0000
0.5000 0.5000 0.0000
0.2500 0.5000 0.5000
0.7500 0.5000 0.5000
0.4704 0.3110 0.7482
0.5296 0.6890 0.2518
0.2186 0.3110 0.2518
0.7814 0.6890 0.7482

---

# 10
Nd4Ga3Ru | the Alexandria database | GGA-PBE | optimized geometry; formation energy = -0.50 eV/atom
1.0
4.3342 0.0000 0.0000
0.0000 4.2789 0.0000
0.0000 0.0000 10.9698
Ru Nd Ga
1 4 3
direct
0.5000 0.5000 0.0704
0.5000 0.5000 0.3460
0.0000 0.5000 0.8680
0.0000 0.0000 0.1391
0.5000 0.0000 0.6431
0.0000 0.5000 0.5712
0.0000 0.0000 0.4277
0.5000 0.0000 0.9345

---

# 11
NdGa2Ru2 | the Alexandria database | GGA-PBE | optimized geometry; formation energy = -0.40 eV/atom
1.0
4.4804 0.0000 0.0000
0.0000 4.4804 0.0000
-2.2402 -2.2402 4.6919
Nd Ga Ru
1 2 2
direct
0.0000 0.0000 0.0000
0.6385 0.6385 0.2770
0.3615 0.3615 0.7230
0.7500 0.2500 0.5000
0.2500 0.7500 0.5000

---

# 12
Nd3Ga2Ru | the Alexandria database | GGA-PBE | optimized geometry; formation energy = -0.47 eV/atom
1.0
-2.7626 1.3179 -3.2495
-0.6704 -10.5218 -3.6974
-9.6242 -1.9798 7.3792
Nd Ga Ru
12 8 4
direct
0.2500 0.3863 0.0526
0.7500 0.6137 0.9474
0.7500 0.8863 0.4474
0.2500 0.1137 0.5526
0.2500 0.7121 0.2318
0.7500 0.2879 0.7682
0.7500 0.2121 0.2682
0.2500 0.7879 0.7318
0.2500 0.4464 0.3842
0.7500 0.5536 0.6158
0.7500 0.9464 0.1158
0.2500 0.0536 0.8842
0.2500 0.7012 0.4864
0.7500 0.2988 0.5136
0.7500 0.2012 0.0136
0.2500 0.7988 0.9864
0.2500 0.0107 0.2956
0.7500 0.9893 0.7044
0.7500 0.5107 0.2044
0.2500 0.4893 0.7956
0.2500 0.1385 0.1149
0.7500 0.8615 0.8851
0.7500 0.6385 0.3851
0.2500 0.3615 0.6149

---

# 13
Nd8GaRu2 | the Alexandria database | GGA-PBE | optimized geometry; formation energy = -0.13 eV/atom
1.0
-1.1632 4.1737 -3.7165
7.5116 -1.7324 -2.4125
-5.5502 -5.3575 -2.3955
Ru Nd Ga
2 8 1
direct
0.4990 0.7052 0.3000
0.4990 0.3000 0.7052
0.5618 0.3317 0.0799
0.5618 0.0799 0.3317
0.1918 0.3873 0.3873
0.9999 0.2432 0.7643
0.9999 0.7643 0.2432
0.8076 0.6183 0.6183
0.4379 0.9265 0.6750
0.4379 0.6750 0.9265
0.0030 0.0025 0.0025

---

# 14
NdGa3Ru | the Alexandria database | GGA-PBE | optimized geometry; formation energy = -0.40 eV/atom; E above lowest polymorph = 0.1535 eV per atom
1.0
-4.4749 0.9614 -1.2477
-1.0703 -4.6129 0.2844
-1.1556 0.5498 4.5681
Ru Nd Ga
1 1 3
direct
0.0000 0.0000 0.0000
0.5000 0.5000 0.5000
0.0000 0.5000 0.0000
0.0000 0.0000 0.5000
0.5000 0.0000 0.0000

---

# 15
Nd2Ga3Ru | the Alexandria database | GGA-PBE | optimized geometry; formation energy = -0.54 eV/atom
1.0
-1.0833 4.0932 -0.6526
-4.0177 1.7861 3.8098
3.0503 3.6358 3.6790
Nd Ga Ru
2 3 1
direct
0.5554 0.2010 0.6881
0.4488 0.8050 0.2975
0.8478 0.6116 0.6929
0.8193 0.2543 0.1071
0.1758 0.7408 0.9077
0.1529 0.3873 0.3068

---

# 16
Nd4Ga2Ru | the Alexandria database | GGA-PBE | optimized geometry; formation energy = -0.40 eV/atom
1.0
-1.5343 -4.5550 -0.5879
0.4032 -3.3667 5.0907
-7.0625 -0.3912 1.5217
Ru Nd Ga
1 4 2
direct
0.0000 0.0000 0.0000
0.0813 0.2118 0.6257
0.9187 0.7882 0.3743
0.3314 0.2929 0.0443
0.6686 0.7071 0.9557
0.3395 0.6458 0.6752
0.6605 0.3542 0.3248

---

# 17
Nd4Ga12Ru | the Alexandria database | GGA-PBE | optimized geometry; formation energy = -0.58 eV/atom
1.0
-3.8836 6.4250 -1.2583
1.9143 -3.1533 -6.6588
-4.3340 -4.8519 3.9525
Nd Ga Ru
4 12 1
direct
0.0000 0.0000 0.5000
0.5000 0.0000 0.0000
0.5000 0.5000 0.5000
0.0000 0.5000 0.0000
0.0000 0.2888 0.2888
0.0000 0.7112 0.7112
0.7112 0.7112 0.0000
0.2888 0.2888 0.0000
0.2888 0.0000 0.2888
0.7112 0.0000 0.7112
0.5000 0.2500 0.7500
0.5000 0.7500 0.2500
0.7500 0.2500 0.5000
0.2500 0.7500 0.5000
0.7500 0.5000 0.2500
0.2500 0.5000 0.7500
0.0000 0.0000 0.0000

---

# 18
NdScGaRu | the Alexandria database | GGA-PBE | optimized geometry; formation energy = -0.37 eV/atom
1.0
4.8894 0.0000 0.0000
2.4447 4.2344 0.0000
2.4447 1.4115 3.9922
Sc Ru Nd Ga
1 1 1 1
direct
0.0000 0.0000 0.0000
0.7500 0.7500 0.7500
0.5000 0.5000 0.5000
0.2500 0.2500 0.2500

---

# 19
Nd3Ga2SiRu3 | the Alexandria database | GGA-PBE | optimized geometry; total DFT energy (no corrections) = -57.74 eV per formula unit
1.0
-1.1947 2.3310 2.4774
4.3159 -3.3653 5.2478
2.7830 5.7570 -4.0746
Nd Ga Si Ru
3 2 1 3
direct
0.0000 0.0000 0.3847
0.0000 0.6153 0.6153
0.0000 0.3847 0.0000
0.5000 0.3333 0.6667
0.5000 0.6667 0.3333
0.0000 0.0000 0.0000
0.5000 0.7689 0.0000
0.5000 0.2311 0.2311
0.5000 0.0000 0.7689

---

# 20
NdTmGaRu | the Alexandria database | GGA-PBE | optimized geometry; formation energy = -0.44 eV/atom; E above lowest polymorph = 0.0000 eV per atom
1.0
3.9528 0.0000 0.0000
0.0000 4.3662 0.0000
-1.9764 0.0000 5.3610
Nd Tm Ga Ru
1 1 1 1
direct
0.8519 0.5000 0.7039
0.1383 0.0000 0.2767
0.4377 0.0000 0.8754
0.5720 0.5000 0.1441